Record 1
A plane-wave DFT calculation with meta-GGA SCAN was carried out for a PBEsol-optimized structure of FeWN2F.

Computed properties:
For the energy, the calculation gives -106.64 eV for the cell shown. The value obtained for the uncorrected formation energy is 659.4 meV/atom.

a = 3.6939 Å, b = 3.6939 Å, c = 3.4907 Å
α = 90.00°, β = 90.00°, γ = 90.00°
Last column: nearest neighbours and their distance in Å.
Element x y z (fractional)
Fe (0.0000, 0.0000, 0.0000)  2 F 1.75, 4 N 1.85
W (0.5000, 0.5000, 0.5000)  8 N 2.54, 4 F 2.61
N (0.0000, 0.5000, 0.0000)  2 Fe 1.85
N (0.5000, 0.0000, 0.0000)  2 Fe 1.85
F (0.0000, 0.0000, 0.5000)  2 Fe 1.75



Record 2
A plane-wave DFT calculation with meta-GGA SCAN was carried out for a PBEsol-optimized structure of NiRh3.

Computed properties:
For the energy, the calculation gives -117.24 eV for the cell shown. As for the calculated formation energy: 0.06 eV/atom.

a = 2.6594 Å, b = 4.2545 Å, c = 4.5633 Å
α = 90.00°, β = 90.00°, γ = 90.00°
Last column: nearest neighbours and their distance in Å.
Element x y z (fractional)
Ni (0.0000, 0.0000, 0.0000)  10 Rh 2.61-2.64, 2 Ni 2.66
Rh (0.0000, 0.5000, 0.3304)  2 Ni 2.61, 10 Rh 2.61-2.67
Rh (0.5000, 0.0000, 0.4998)  8 Rh 2.62-2.66, 4 Ni 2.64
Rh (0.5000, 0.5000, 0.8377)  8 Rh 2.61-2.67, 4 Ni 2.62



Record 3
A plane-wave DFT calculation with meta-GGA SCAN was carried out for a PBEsol-optimized structure of SbMoPdI2.

Computed properties:
For the energy, the calculation gives -173.84 eV for the cell shown. The value obtained for the uncorrected formation energy is 912.8 meV/atom.

a = 5.3080 Å, b = 5.3080 Å, c = 5.1727 Å
α = 90.00°, β = 90.00°, γ = 90.00°
Last column: nearest neighbours and their distance in Å.
Element x y z (fractional)
Sb (0.0000, 0.0000, 0.0000)  2 Mo 2.59
Mo (0.0000, 0.0000, 0.5000)  2 Sb 2.59, 4 I 2.65
Pd (0.5000, 0.5000, 0.0000)  8 I 3.71, 4 Sb 3.75
I (0.0000, 0.5000, 0.5000)  2 Mo 2.65
I (0.5000, 0.0000, 0.5000)  2 Mo 2.65



Record 4
A plane-wave DFT calculation with meta-GGA SCAN was carried out for a PBEsol-optimized structure of MgTe2Au.

Computed properties:
For the energy, the calculation gives -150.48 eV for the cell shown. The value obtained for the uncorrected formation energy is -461.4 meV/atom.

a = 5.0067 Å, b = 4.4514 Å, c = 4.4514 Å
α = 79.41°, β = 90.00°, γ = 90.00°
Last column: nearest neighbours and their distance in Å.
Element x y z (fractional)
Mg (0.0000, 0.0000, 0.0000)  5 Te 2.87-2.90, 2 Au 2.94
Te (0.0000, 0.5803, 0.5803)  2 Au 2.84, 3 Mg 2.87-2.90
Te (0.5000, 0.2038, 0.2038)  2 Mg 2.87, 3 Au 2.89-2.93
Au (0.5000, 0.7762, 0.7762)  5 Te 2.84-2.93, 2 Mg 2.94



Record 5
A plane-wave DFT calculation with meta-GGA SCAN was carried out for a PBEsol-optimized structure of Li4Mn5SbO12.

Computed properties:
For the energy, the calculation gives -258.31 eV for the cell shown. The value obtained for the uncorrected formation energy is -2065.3 meV/atom.

a = 5.1136 Å, b = 5.1136 Å, c = 10.4637 Å
α = 95.00°, β = 95.00°, γ = 114.20°
Last column: nearest neighbours and their distance in Å.
Element x y z (fractional)
Li (0.0596, 0.4157, 0.2884)  4 O 1.89-2.09
Li (0.4157, 0.0596, 0.2884)  4 O 1.89-2.09
Li (0.5843, 0.9404, 0.7116)  4 O 1.89-2.09
Li (0.9404, 0.5843, 0.7116)  4 O 1.89-2.09
Mn (0.1641, 0.8359, 0.5000)  4 O 1.90-1.94
Mn (0.3370, 0.6630, 0.0000)  4 O 1.92
Mn (0.5000, 0.5000, 0.5000)  6 O 1.95-2.13
Mn (0.6630, 0.3370, 0.0000)  4 O 1.92
Mn (0.8359, 0.1641, 0.5000)  4 O 1.90-1.94
Sb (0.0000, 0.0000, 0.0000)  6 O 1.99-2.05
O (0.0088, 0.6607, 0.8946)  1 Li 1.89, 1 Mn 1.92, 1 Sb 1.99
O (0.1317, 0.1317, 0.4045)  3 Mn 1.94-2.13, 2 Li 2.09
O (0.2498, 0.5943, 0.6077)  2 Mn 1.90-1.95, 2 Li 1.98-2.02
O (0.3037, 0.3037, 0.9118)  2 Mn 1.92, 1 Sb 2.05
O (0.3393, 0.9912, 0.1054)  1 Li 1.89, 1 Mn 1.92, 1 Sb 1.99
O (0.4057, 0.7502, 0.3923)  2 Mn 1.90-1.95, 2 Li 1.98-2.02
O (0.5943, 0.2498, 0.6077)  2 Mn 1.90-1.95, 2 Li 1.98-2.02
O (0.6607, 0.0088, 0.8946)  1 Li 1.89, 1 Mn 1.92, 1 Sb 1.99
O (0.6963, 0.6963, 0.0882)  2 Mn 1.92, 1 Sb 2.05
O (0.7502, 0.4057, 0.3923)  2 Mn 1.90-1.95, 2 Li 1.98-2.02
O (0.8683, 0.8683, 0.5955)  3 Mn 1.94-2.13, 2 Li 2.09
O (0.9912, 0.3393, 0.1054)  1 Li 1.89, 1 Mn 1.92, 1 Sb 1.99



Record 6
A plane-wave DFT calculation with meta-GGA SCAN was carried out for a PBEsol-optimized structure of NaRuC2.

Computed properties:
For the energy, the calculation gives -112.31 eV for the cell shown. As for the calculated formation energy: 0.77 eV/atom.

a = 6.6099 Å, b = 6.6099 Å, c = 6.6099 Å
α = 136.77°, β = 136.77°, γ = 62.79°
Last column: nearest neighbours and their distance in Å.
Element x y z (fractional)
Na (0.3750, 0.6250, 0.7500)  8 C 3.07
Na (0.6250, 0.3750, 0.2500)  8 C 3.07
Ru (0.1250, 0.8750, 0.2500)  4 C 1.86
Ru (0.8750, 0.1250, 0.7500)  4 C 1.86
C (0.0000, 0.0000, 0.0000)  2 Ru 1.86
C (0.0000, 0.0000, 0.5000)  2 Ru 1.86
C (0.0000, 0.5000, 0.0000)  2 Ru 1.86
C (0.5000, 0.0000, 0.5000)  2 Ru 1.86



Record 7
A plane-wave DFT calculation with meta-GGA SCAN was carried out for a PBEsol-optimized structure of Sc2TaCr.

Computed properties:
For the energy, the calculation gives -112.49 eV for the cell shown. As for the calculated formation energy: 0.24 eV/atom.

a = 4.7496 Å, b = 4.7496 Å, c = 4.7496 Å
α = 60.00°, β = 60.00°, γ = 60.00°
Last column: nearest neighbours and their distance in Å.
Element x y z (fractional)
Sc (0.2500, 0.2500, 0.2500)  4 Cr 2.91, 4 Ta 2.91
Sc (0.7500, 0.7500, 0.7500)  4 Cr 2.91, 4 Ta 2.91
Ta (0.0000, 0.0000, 0.0000)  8 Sc 2.91
Cr (0.5000, 0.5000, 0.5000)  8 Sc 2.91



Record 8
A plane-wave DFT calculation with meta-GGA SCAN was carried out for a PBEsol-optimized structure of Pm3Cd.

Computed properties:
For the energy, the calculation gives -326.25 eV for the cell shown. As for the calculated formation energy: -0.19 eV/atom.

a = 6.9755 Å, b = 6.9755 Å, c = 5.4173 Å
α = 90.00°, β = 90.00°, γ = 120.00°
Last column: nearest neighbours and their distance in Å.
Element x y z (fractional)
Pm (0.1749, 0.3497, 0.2500)  8 Pm 3.32-3.66, 4 Cd 3.32-3.49
Pm (0.1749, 0.8251, 0.2500)  8 Pm 3.32-3.66, 4 Cd 3.32-3.49
Pm (0.3497, 0.1749, 0.7500)  8 Pm 3.32-3.66, 4 Cd 3.32-3.49
Pm (0.6503, 0.8251, 0.2500)  8 Pm 3.32-3.66, 4 Cd 3.32-3.49
Pm (0.8251, 0.1749, 0.7500)  8 Pm 3.32-3.66, 4 Cd 3.32-3.49
Pm (0.8251, 0.6503, 0.7500)  8 Pm 3.32-3.66, 4 Cd 3.32-3.49
Cd (0.3333, 0.6667, 0.7500)  12 Pm 3.32-3.49
Cd (0.6667, 0.3333, 0.2500)  12 Pm 3.32-3.49



Record 9
A plane-wave DFT calculation with meta-GGA SCAN was carried out for a PBEsol-optimized structure of YMg2Al.

Computed properties:
For the energy, the calculation gives -45.98 eV for the cell shown. As for the calculated formation energy: -0.11 eV/atom.

a = 5.9794 Å, b = 5.9794 Å, c = 5.9794 Å
α = 144.17°, β = 131.44°, γ = 61.80°
Last column: nearest neighbours and their distance in Å.
Element x y z (fractional)
Y (0.0000, 0.0000, 0.0000)  4 Al 3.07, 8 Mg 3.33-3.41
Mg (0.2701, 0.7701, 0.5000)  2 Al 2.99, 4 Mg 3.10, 2 Y 3.33
Mg (0.7299, 0.2299, 0.5000)  2 Al 2.99, 4 Mg 3.10, 2 Y 3.33
Al (0.5000, 0.5000, 0.0000)  4 Mg 2.99, 4 Y 3.07



Record 10
A plane-wave DFT calculation with meta-GGA SCAN was carried out for a PBEsol-optimized structure of TaRh2Br.

Computed properties:
For the energy, the calculation gives -151.89 eV for the cell shown. The value obtained for the uncorrected formation energy is 423.6 meV/atom.

a = 4.4399 Å, b = 4.4399 Å, c = 4.4399 Å
α = 60.00°, β = 60.00°, γ = 60.00°
Last column: nearest neighbours and their distance in Å.
Element x y z (fractional)
Ta (0.0000, 0.0000, 0.0000)  4 Rh 2.72, 4 Br 2.72
Rh (0.5000, 0.5000, 0.5000)  4 Br 2.72, 4 Rh 2.72
Rh (0.7500, 0.7500, 0.7500)  4 Rh 2.72, 4 Ta 2.72
Br (0.2500, 0.2500, 0.2500)  4 Rh 2.72, 4 Ta 2.72



Record 11
A plane-wave DFT calculation with meta-GGA SCAN was carried out for a PBEsol-optimized structure of KNa2Ag2.

Computed properties:
For the energy, the calculation gives -79.30 eV for the cell shown. As for the calculated formation energy: 0.04 eV/atom.

a = 7.4253 Å, b = 7.4253 Å, c = 7.4253 Å
α = 143.05°, β = 143.05°, γ = 53.25°
Last column: nearest neighbours and their distance in Å.
Element x y z (fractional)
K (0.0000, 0.0000, 0.0000)  8 Ag 3.59
Na (0.2500, 0.7500, 0.5000)  4 Ag 3.07, 4 Na 3.33
Na (0.7500, 0.2500, 0.5000)  4 Ag 3.07, 4 Na 3.33
Ag (0.3989, 0.3989, 0.0000)  1 Ag 2.69
Ag (0.6011, 0.6011, 0.0000)  1 Ag 2.69



Record 12
A plane-wave DFT calculation with meta-GGA SCAN was carried out for a PBEsol-optimized structure of RbNaZn2.

Computed properties:
For the energy, the calculation gives -50.81 eV for the cell shown. As for the calculated formation energy: 0.29 eV/atom.

a = 5.5526 Å, b = 5.5526 Å, c = 5.5526 Å
α = 60.00°, β = 60.00°, γ = 60.00°
Last column: nearest neighbours and their distance in Å.
Element x y z (fractional)
Rb (0.0000, 0.0000, 0.0000)  8 Zn 3.40
Na (0.5000, 0.5000, 0.5000)  8 Zn 3.40
Zn (0.2500, 0.2500, 0.2500)  4 Na 3.40, 4 Rb 3.40
Zn (0.7500, 0.7500, 0.7500)  4 Rb 3.40, 4 Na 3.40